DFT (PBE) results for a geometry-optimized ZrTiAgPt structure.

```
data_ZrTiAgPt
_symmetry_space_group_name_H-M 'P 1'
_symmetry_Int_Tables_number 1
_cell_length_a 4.687
_cell_length_b 4.687
_cell_length_c 4.687
_cell_angle_alpha 60.00
_cell_angle_beta 60.00
_cell_angle_gamma 60.00
loop_
_symmetry_equiv_pos_as_xyz
'x,y,z'
loop_
_atom_site_label
_atom_site_type_symbol
_atom_site_fract_x
_atom_site_fract_y
_atom_site_fract_z
Pt1 Pt 0.000 0.000 0.000
Ti1 Ti 0.250 0.250 0.250
Zr1 Zr 0.750 0.750 0.750
Ag1 Ag 0.500 0.500 0.500
```

Calculated values
space group: No. 216
formation enthalpy at 0 K: -0.38 eV/atom

DFT (PBE) results for a geometry-optimized TlAg2Pt structure.

```
data_TlAg2Pt
_symmetry_space_group_name_H-M 'P 1'
_symmetry_Int_Tables_number 1
_cell_length_a 3.078
_cell_length_b 3.078
_cell_length_c 8.289
_cell_angle_alpha 90.00
_cell_angle_beta 90.00
_cell_angle_gamma 90.00
loop_
_symmetry_equiv_pos_as_xyz
'x,y,z'
loop_
_atom_site_label
_atom_site_type_symbol
_atom_site_fract_x
_atom_site_fract_y
_atom_site_fract_z
Pt1 Pt 0.500 0.500 0.000
Tl1 Tl 0.500 0.500 0.500
Ag1 Ag 0.000 0.000 0.782
Ag2 Ag 0.000 0.000 0.218
```

Calculated values
space group: No. 123
formation enthalpy at 0 K: 0.14 eV/atom
energy relative to the lowest polymorph listed for this composition: 93 meV/atom

DFT (PBE) results for a geometry-optimized TlAgPt structure.

```
data_TlAgPt
_symmetry_space_group_name_H-M 'P 1'
_symmetry_Int_Tables_number 1
_cell_length_a 3.011
_cell_length_b 4.746
_cell_length_c 4.769
_cell_angle_alpha 90.00
_cell_angle_beta 90.00
_cell_angle_gamma 90.00
loop_
_symmetry_equiv_pos_as_xyz
'x,y,z'
loop_
_atom_site_label
_atom_site_type_symbol
_atom_site_fract_x
_atom_site_fract_y
_atom_site_fract_z
Ag1 Ag 0.000 0.500 0.000
Pt1 Pt 0.500 0.500 0.500
Tl1 Tl 0.000 0.000 0.500
```

Calculated values
space group: No. 47
formation enthalpy at 0 K: 0.04 eV/atom
energy relative to the lowest polymorph listed for this composition: 8 meV/atom

DFT (PBE) results for a geometry-optimized TlAg2Pt structure.

```
data_TlAg2Pt
_symmetry_space_group_name_H-M 'P 1'
_symmetry_Int_Tables_number 1
_cell_length_a 3.248
_cell_length_b 4.770
_cell_length_c 5.956
_cell_angle_alpha 54.86
_cell_angle_beta 90.00
_cell_angle_gamma 90.00
loop_
_symmetry_equiv_pos_as_xyz
'x,y,z'
loop_
_atom_site_label
_atom_site_type_symbol
_atom_site_fract_x
_atom_site_fract_y
_atom_site_fract_z
Pt1 Pt 0.500 0.500 0.500
Ag1 Ag 0.500 0.500 0.000
Ag2 Ag 0.000 0.000 0.000
Tl1 Tl 0.000 0.000 0.500
```

Calculated values
space group: No. 10
formation enthalpy at 0 K: 0.08 eV/atom
energy relative to the lowest polymorph listed for this composition: 32 meV/atom

DFT (PBE) results for a geometry-optimized TlAgPt structure.

```
data_TlAgPt
_symmetry_space_group_name_H-M 'P 1'
_symmetry_Int_Tables_number 1
_cell_length_a 4.567
_cell_length_b 4.567
_cell_length_c 4.567
_cell_angle_alpha 60.00
_cell_angle_beta 60.00
_cell_angle_gamma 60.00
loop_
_symmetry_equiv_pos_as_xyz
'x,y,z'
loop_
_atom_site_label
_atom_site_type_symbol
_atom_site_fract_x
_atom_site_fract_y
_atom_site_fract_z
Pt1 Pt 0.750 0.750 0.750
Tl1 Tl 0.000 0.000 0.000
Ag1 Ag 0.500 0.500 0.500
```

Calculated values
space group: No. 216
formation enthalpy at 0 K: 0.06 eV/atom
energy relative to the lowest polymorph listed for this composition: 26 meV/atom

DFT (PBE) results for a geometry-optimized TlAg2Pt2 structure.

```
data_TlAg2Pt2
_symmetry_space_group_name_H-M 'P 1'
_symmetry_Int_Tables_number 1
_cell_length_a 3.880
_cell_length_b 3.880
_cell_length_c 7.184
_cell_angle_alpha 74.34
_cell_angle_beta 74.34
_cell_angle_gamma 90.00
loop_
_symmetry_equiv_pos_as_xyz
'x,y,z'
loop_
_atom_site_label
_atom_site_type_symbol
_atom_site_fract_x
_atom_site_fract_y
_atom_site_fract_z
Pt1 Pt 0.598 0.598 0.803
Ag1 Ag 0.750 0.250 0.500
Pt2 Pt 0.402 0.402 0.197
Ag2 Ag 0.250 0.750 0.500
Tl1 Tl 0.000 0.000 0.000
```

Calculated values
space group: No. 139
formation enthalpy at 0 K: 0.22 eV/atom
energy relative to the lowest polymorph listed for this composition: 158 meV/atom